(1)
DyHoLuPa: optimized geometry, GGA-PBE.

Space-group type: F-43m, No. 216
Formation energy from the elements: 348 meV per atom
D(E_F): 2.59 states/eV/atom
Total magnetization: 2.55 μB/cell

The structure in POSCAR format:
```
DyHoLuPa
1.0
5.517 0.000 0.000
2.758 4.777 0.000
2.758 1.592 4.504
Pa Lu Ho Dy
1 1 1 1
Direct
0.750 0.750 0.750 Pa
0.250 0.250 0.250 Lu
0.000 0.000 0.000 Ho
0.500 0.500 0.500 Dy
```



(2)
Mn2InBiCl8: optimized geometry, GGA-PBE.

Space-group type: P-1, No. 2
D(E_F): 0.00 states/eV/atom
Formation energy without anion corrections: -11.64 eV per formula unit
Total magnetization: 10.00 μB/cell

The structure in POSCAR format:
```
Mn2InBiCl8
1.0
6.455 0.577 0.618
0.610 6.453 0.620
0.777 0.810 8.925
Mn In Bi Cl
2 1 1 8
Direct
0.454 0.452 0.714 Mn
0.546 0.548 0.286 Mn
0.000 0.000 0.500 In
0.000 0.000 0.000 Bi
0.195 0.734 0.229 Cl
0.718 0.728 0.042 Cl
0.741 0.202 0.227 Cl
0.805 0.266 0.771 Cl
0.282 0.272 0.958 Cl
0.259 0.798 0.773 Cl
0.664 0.672 0.484 Cl
0.336 0.328 0.516 Cl
```



(3)
Th2ScAl2: optimized geometry, GGA-PBE.

Space-group type: P4/mbm, No. 127
Formation energy from the elements: -289 meV per atom
D(E_F): 0.82 states/eV/atom
Distance to the lowest polymorph of the same formula: 0.0 meV/atom
Total magnetization: 0.00 μB/cell

The structure in POSCAR format:
```
Th2ScAl2
1.0
-0.596 3.925 -2.108
-4.900 2.188 5.460
5.794 3.022 3.989
Th Sc Al
4 2 4
Direct
0.500 0.174 0.674 Th
0.500 0.674 0.826 Th
0.500 0.826 0.326 Th
0.500 0.326 0.174 Th
0.000 0.000 0.000 Sc
0.000 0.500 0.500 Sc
0.000 0.376 0.876 Al
0.000 0.876 0.624 Al
0.000 0.624 0.124 Al
0.000 0.124 0.376 Al
```



(4)
YHg: optimized geometry, GGA-PBE.

Space-group type: R-3m, No. 166
Formation energy from the elements: -374 meV per atom
D(E_F): 1.03 states/eV/atom
Total magnetization: 0.00 μB/cell

The structure in POSCAR format:
```
YHg
1.0
-1.864 1.572 -4.447
0.061 -1.651 -4.795
-3.420 -1.681 -3.347
Hg Y
1 1
Direct
0.000 0.000 0.000 Hg
0.500 0.500 0.500 Y
```



(5)
Rb2NdVS4: optimized geometry, GGA-PBE.

Space-group type: I-4, No. 82
Formation energy without anion corrections: -9.96 eV per formula unit
Total magnetization: 2.00 μB/cell

The structure in POSCAR format:
```
Rb2NdVS4
1.0
-2.502 5.276 4.126
-4.662 -3.528 -4.115
2.352 -5.936 3.217
Rb Nd V S
2 1 1 4
Direct
0.500 0.750 0.250 Rb
0.000 0.000 0.000 Rb
0.500 0.250 0.750 Nd
0.000 0.500 0.500 V
0.617 0.389 0.455 S
0.066 0.228 0.611 S
0.934 0.545 0.162 S
0.383 0.838 0.772 S
```



(6)
Ga2RePtI: optimized geometry, GGA-PBE.

Space-group type: P4/mmm, No. 123
D(E_F): 0.55 states/eV/atom
Formation energy without anion corrections: 3.27 eV per formula unit
Total magnetization: 4.21 μB/cell

The structure in POSCAR format:
```
Ga2RePtI
1.0
4.803 0.000 0.000
0.000 5.420 0.000
0.000 0.000 4.803
I Re Ga Pt
1 1 2 1
Direct
0.500 0.500 0.500 I
0.000 0.500 0.000 Re
0.000 0.000 0.500 Ga
0.500 0.000 0.000 Ga
0.000 0.000 0.000 Pt
```



(7)
CuSnPt4: optimized geometry, GGA-PBE.

Space-group type: C2/m, No. 12
Formation energy from the elements: -231 meV per atom
D(E_F): 0.50 states/eV/atom
Total magnetization: 0.00 μB/cell

The structure in POSCAR format:
```
CuSnPt4
1.0
-2.677 3.473 1.188
-7.212 -3.800 -5.145
-1.915 -1.497 3.790
Cu Sn Pt
2 2 8
Direct
0.500 0.000 0.500 Cu
0.000 0.500 0.500 Cu
0.000 0.000 0.000 Sn
0.500 0.500 0.000 Sn
0.000 0.657 0.000 Pt
0.500 0.157 0.000 Pt
0.500 0.338 0.500 Pt
0.000 0.838 0.500 Pt
0.000 0.343 0.000 Pt
0.500 0.843 0.000 Pt
0.500 0.662 0.500 Pt
0.000 0.162 0.500 Pt
```



(8)
NaCaNb: optimized geometry, GGA-PBE.

Space-group type: C2, No. 5
Formation energy from the elements: 581 meV per atom
D(E_F): 1.15 states/eV/atom
Distance to the lowest polymorph of the same formula: 393.6 meV/atom
Total magnetization: 0.00 μB/cell

The structure in POSCAR format:
```
NaCaNb
1.0
-5.617 -1.678 -2.812
4.441 -3.553 -3.154
-2.608 -2.749 2.926
Na Ca Nb
2 2 2
Direct
0.009 0.121 0.622 Na
0.801 0.328 0.332 Na
0.398 0.125 0.931 Ca
0.806 0.718 0.023 Ca
0.347 0.574 0.651 Nb
0.255 0.666 0.304 Nb
```



(9)
Sr3HPt8: optimized geometry, GGA-PBE.

Space-group type: R3m, No. 160
VASP energy: -5.409 eV/atom
D(E_F): 0.55 states/eV/atom
Total magnetization: 0.00 μB/cell

The structure in POSCAR format:
```
Sr3HPt8
1.0
-3.540 2.285 -3.603
-5.391 -1.272 0.225
-4.346 7.137 4.530
Sr H Pt
3 1 8
Direct
0.618 0.618 0.146 Sr
0.006 0.006 0.983 Sr
0.487 0.487 0.538 Sr
0.192 0.192 0.424 H
0.557 0.054 0.832 Pt
0.052 0.564 0.332 Pt
0.557 0.557 0.832 Pt
0.052 0.052 0.332 Pt
0.805 0.805 0.586 Pt
0.306 0.306 0.081 Pt
0.054 0.557 0.832 Pt
0.564 0.052 0.332 Pt
```



(10)
CsInSi: optimized geometry, GGA-PBE.

Space-group type: Pnma, No. 62
D(E_F): 0.44 states/eV/atom
Formation energy without anion corrections: 0.57 eV per formula unit
Total magnetization: 0.00 μB/cell

The structure in POSCAR format:
```
CsInSi
1.0
12.826 0.000 0.000
0.000 6.498 0.000
0.000 0.000 7.281
Cs Si In
4 4 4
Direct
0.656 0.250 0.971 Cs
0.844 0.750 0.471 Cs
0.344 0.750 0.029 Cs
0.156 0.250 0.529 Cs
0.414 0.250 0.281 Si
0.086 0.750 0.781 Si
0.586 0.750 0.719 Si
0.914 0.250 0.219 Si
0.000 0.000 0.000 In
0.500 0.500 0.500 In
0.500 0.000 0.500 In
0.000 0.500 0.000 In
```



(11)
SeS2F: optimized geometry, GGA-PBE.

Space-group type: R-3m, No. 166
D(E_F): 0.74 states/eV/atom
Formation energy without anion corrections: 1.73 eV per formula unit
Distance to the lowest polymorph of the same formula: 354.2 meV/atom
Total magnetization: 0.00 μB/cell

The structure in POSCAR format:
```
SeS2F
1.0
1.673 0.000 8.495
-0.836 1.448 8.495
-0.836 -1.448 8.495
S Se F
2 1 1
Direct
0.907 0.907 0.907 S
0.093 0.093 0.093 S
0.000 0.000 0.000 Se
0.500 0.500 0.500 F
```



(12)
PuH4Pd: optimized geometry, GGA-PBE.

Space-group type: P4/mmm, No. 123
D(E_F): 1.15 states/eV/atom
Distance to the lowest polymorph of the same formula: 157.3 meV/atom
Total magnetization: 5.54 μB/cell

The structure in POSCAR format:
```
PuH4Pd
1.0
-1.791 -1.365 -2.454
2.729 -0.160 -1.902
1.000 -4.583 1.821
Pu H Pd
1 4 1
Direct
0.501 0.497 0.998 Pu
0.501 0.997 0.298 H
0.501 0.997 0.698 H
0.001 0.497 0.698 H
0.001 0.497 0.298 H
0.001 0.997 0.498 Pd
```